No. 1
A relaxed Ca3HfCl crystal. Source: the Alexandria database, functional PBE-GGA.

abc: 5.409 5.409 5.409
angles: 90.00 90.00 90.00
Sites, in units of the cell vectors:
1 Ca 0.000 0.000 0.500
2 Ca 0.000 0.500 0.000
3 Ca 0.500 0.000 0.000
4 Hf 0.500 0.500 0.500
5 Cl 0.000 0.000 0.000

Energy above the most stable polymorph in this dataset in meV/atom: 0
M_tot in Bohr magnetons per cell: 3.0
N(E_F) in states/eV per cell: 3.03
Uncorrected formation energy in kJ/mol of atoms: -8


No. 2
A relaxed CaHf3Cl crystal. Source: the Alexandria database, functional PBE-GGA.

abc: 5.229 5.229 5.229
angles: 90.00 90.00 90.00
Sites, in units of the cell vectors:
1 Ca 0.000 0.000 0.000
2 Hf 0.000 0.000 0.500
3 Hf 0.000 0.500 0.000
4 Hf 0.500 0.000 0.000
5 Cl 0.500 0.500 0.500

Energy above the most stable polymorph in this dataset in meV/atom: 1725
M_tot in Bohr magnetons per cell: 0.8
N(E_F) in states/eV per cell: 7.81
Uncorrected formation energy in kJ/mol of atoms: 179


Volume
In order: 158.28; 142.93
Unit: Å³ per cell